# Tb2Ga5Cu2 PBE optimized geometry
# **Space-group type**: P4/mmm (123)
# **E_form**: -0.416 eV/atom
# **M_tot**: 0.0 Bohr magnetons per cell
# **Mass density**: 7.910 g/cm³
data_Tb2Ga5Cu2
_chemical_formula_sum 'Tb2 Ga5 Cu2'
_cell_length_a 4.163
_cell_length_b 4.163
_cell_length_c 9.612
_cell_angle_alpha 90.00
_cell_angle_beta 90.00
_cell_angle_gamma 90.00
_symmetry_space_group_name_H-M 'P 1'
_symmetry_Int_Tables_number 1
_symmetry_space_group_name_Hall 'P 1'
loop_
_atom_site_label
_atom_site_fract_x
_atom_site_fract_y
_atom_site_fract_z
Ga1 0.000 0.500 0.264
Ga2 0.500 0.000 0.736
Ga3 0.500 0.500 0.500
Ga4 0.500 0.000 0.264
Ga5 0.000 0.500 0.736
Tb1 0.000 0.000 0.500
Tb2 0.000 0.000 0.000
Cu1 0.500 0.500 0.122
Cu2 0.500 0.500 0.878

=====

# TbGa2Cu3 PBE optimized geometry
# **Space-group type**: C2/m (12)
# **E_form**: -0.344 eV/atom
# **M_tot**: 0.0 Bohr magnetons per cell
# **Mass density**: 8.197 g/cm³
data_TbGa2Cu3
_chemical_formula_sum 'Tb3 Ga6 Cu9'
_cell_length_a 4.014
_cell_length_b 8.237
_cell_length_c 9.636
_cell_angle_alpha 105.39
_cell_angle_beta 90.00
_cell_angle_gamma 104.10
_symmetry_space_group_name_H-M 'P 1'
_symmetry_Int_Tables_number 1
_symmetry_space_group_name_Hall 'P 1'
loop_
_atom_site_label
_atom_site_fract_x
_atom_site_fract_y
_atom_site_fract_z
Ga1 0.651 0.302 0.465
Ga2 0.484 0.967 0.235
Ga3 0.349 0.698 0.535
Ga4 0.207 0.414 0.097
Ga5 0.793 0.586 0.903
Ga6 0.516 0.033 0.765
Cu1 0.350 0.701 0.047
Cu2 0.367 0.734 0.802
Cu3 0.633 0.266 0.198
Cu4 0.650 0.299 0.953
Cu5 0.500 0.000 0.500
Cu6 0.207 0.414 0.356
Cu7 0.051 0.102 0.371
Cu8 0.793 0.586 0.644
Cu9 0.949 0.898 0.629
Tb1 0.156 0.312 0.710
Tb2 0.000 0.000 0.000
Tb3 0.844 0.688 0.290

=====

# Tb3GaCu3 PBE optimized geometry
# **Space-group type**: C2/m (12)
# **E_form**: -0.323 eV/atom
# **M_tot**: 0.0 Bohr magnetons per cell
# **Mass density**: 8.334 g/cm³
data_Tb3GaCu3
_chemical_formula_sum 'Tb6 Ga2 Cu6'
_cell_length_a 4.197
_cell_length_b 5.537
_cell_length_c 13.822
_cell_angle_alpha 85.60
_cell_angle_beta 81.27
_cell_angle_gamma 67.73
_symmetry_space_group_name_H-M 'P 1'
_symmetry_Int_Tables_number 1
_symmetry_space_group_name_Hall 'P 1'
loop_
_atom_site_label
_atom_site_fract_x
_atom_site_fract_y
_atom_site_fract_z
Tb1 0.753 0.727 0.768
Tb2 0.397 0.285 0.921
Tb3 0.247 0.273 0.232
Tb4 0.461 0.687 0.390
Tb5 0.603 0.715 0.079
Tb6 0.539 0.313 0.610
Cu1 0.957 0.853 0.232
Cu2 0.131 0.279 0.458
Cu3 0.869 0.721 0.542
Cu4 0.104 0.869 0.922
Cu5 0.043 0.147 0.768
Cu6 0.896 0.131 0.078
Ga1 0.247 0.900 0.606
Ga2 0.753 0.100 0.394

=====

# TbGaCu PBE optimized geometry
# **Space-group type**: P4/nmm (129)
# **E_form**: -0.475 eV/atom
# **M_tot**: 0.0 Bohr magnetons per cell
# **Mass density**: 8.130 g/cm³
data_TbGaCu
_chemical_formula_sum 'Tb2 Ga2 Cu2'
_cell_length_a 4.272
_cell_length_b 4.272
_cell_length_c 6.541
_cell_angle_alpha 90.00
_cell_angle_beta 90.00
_cell_angle_gamma 90.00
_symmetry_space_group_name_H-M 'P 1'
_symmetry_Int_Tables_number 1
_symmetry_space_group_name_Hall 'P 1'
loop_
_atom_site_label
_atom_site_fract_x
_atom_site_fract_y
_atom_site_fract_z
Tb1 0.750 0.250 0.814
Tb2 0.250 0.750 0.186
Ga1 0.750 0.250 0.288
Ga2 0.250 0.750 0.712
Cu1 0.750 0.750 0.500
Cu2 0.250 0.250 0.500

=====

# Tb2GaCu PBE optimized geometry
# **Space-group type**: R-3m (166)
# **E_form**: -0.185 eV/atom
# **M_tot**: 0.0 Bohr magnetons per cell
# **Mass density**: 7.592 g/cm³
data_Tb2GaCu
_chemical_formula_sum 'Tb2 Ga1 Cu1'
_cell_length_a 3.743
_cell_length_b 3.743
_cell_length_c 8.416
_cell_angle_alpha 77.15
_cell_angle_beta 77.15
_cell_angle_gamma 60.00
_symmetry_space_group_name_H-M 'P 1'
_symmetry_Int_Tables_number 1
_symmetry_space_group_name_Hall 'P 1'
loop_
_atom_site_label
_atom_site_fract_x
_atom_site_fract_y
_atom_site_fract_z
Cu1 0.500 0.500 0.500
Tb1 0.755 0.755 0.736
Tb2 0.245 0.245 0.264
Ga1 0.000 0.000 0.000

=====

# Tb2GaCu PBE optimized geometry
# **Space-group type**: Pmma (51)
# **E_form**: -0.397 eV/atom
# **M_tot**: 0.0 Bohr magnetons per cell
# **Mass density**: 8.443 g/cm³
data_Tb2GaCu
_chemical_formula_sum 'Tb4 Ga2 Cu2'
_cell_length_a 3.537
_cell_length_b 5.005
_cell_length_c 10.023
_cell_angle_alpha 90.00
_cell_angle_beta 90.00
_cell_angle_gamma 90.00
_symmetry_space_group_name_H-M 'P 1'
_symmetry_Int_Tables_number 1
_symmetry_space_group_name_Hall 'P 1'
loop_
_atom_site_label
_atom_site_fract_x
_atom_site_fract_y
_atom_site_fract_z
Cu1 0.500 0.250 0.862
Cu2 0.500 0.750 0.138
Tb1 0.000 0.250 0.118
Tb2 0.000 0.750 0.376
Tb3 0.000 0.250 0.624
Tb4 0.000 0.750 0.882
Ga1 0.500 0.250 0.365
Ga2 0.500 0.750 0.635

=====

# Tb2Ga2Cu15 PBE optimized geometry
# **Space-group type**: R-3m (166)
# **E_form**: -0.159 eV/atom
# **M_tot**: 0.0 Bohr magnetons per cell
# **Mass density**: 8.667 g/cm³
data_Tb2Ga2Cu15
_chemical_formula_sum 'Tb2 Ga2 Cu15'
_cell_length_a 6.514
_cell_length_b 6.514
_cell_length_c 6.514
_cell_angle_alpha 82.70
_cell_angle_beta 82.70
_cell_angle_gamma 82.70
_symmetry_space_group_name_H-M 'P 1'
_symmetry_Int_Tables_number 1
_symmetry_space_group_name_Hall 'P 1'
loop_
_atom_site_label
_atom_site_fract_x
_atom_site_fract_y
_atom_site_fract_z
Cu1 0.348 0.845 0.348
Cu2 0.301 0.699 0.000
Cu3 0.652 0.652 0.155
Cu4 0.000 0.301 0.699
Cu5 0.652 0.155 0.652
Cu6 0.000 0.000 0.500
Cu7 0.301 0.000 0.699
Cu8 0.699 0.000 0.301
Cu9 0.155 0.652 0.652
Cu10 0.845 0.348 0.348
Cu11 0.000 0.699 0.301
Cu12 0.699 0.301 0.000
Cu13 0.500 0.000 0.000
Cu14 0.000 0.500 0.000
Cu15 0.348 0.348 0.845
Tb1 0.652 0.652 0.652
Tb2 0.348 0.348 0.348
Ga1 0.103 0.103 0.103
Ga2 0.897 0.897 0.897

=====

# TbGa4Cu3 PBE optimized geometry
# **Space-group type**: P4/mmm (123)
# **E_form**: -0.299 eV/atom
# **M_tot**: 0.0 Bohr magnetons per cell
# **Mass density**: 7.675 g/cm³
data_TbGa4Cu3
_chemical_formula_sum 'Tb1 Ga4 Cu3'
_cell_length_a 4.081
_cell_length_b 4.081
_cell_length_c 8.163
_cell_angle_alpha 90.00
_cell_angle_beta 90.00
_cell_angle_gamma 90.00
_symmetry_space_group_name_H-M 'P 1'
_symmetry_Int_Tables_number 1
_symmetry_space_group_name_Hall 'P 1'
loop_
_atom_site_label
_atom_site_fract_x
_atom_site_fract_y
_atom_site_fract_z
Cu1 0.000 0.000 0.000
Cu2 0.500 0.500 0.355
Cu3 0.500 0.500 0.645
Ga1 0.000 0.500 0.178
Ga2 0.500 0.000 0.822
Ga3 0.500 0.000 0.178
Ga4 0.000 0.500 0.822
Tb1 0.000 0.000 0.500